Record 1
The following is a GGA+U calculation of an optimized crystal structure of Ti2CrF, from the Alexandria database.

Calculated values
**ρ**: 4.3 g cm⁻³
**Polymorph energy (0 for the lowest one)**: 0.499 eV/atom
**Crystal system**: cubic

a = 6.382 Å, b = 6.382 Å, c = 6.382 Å
α = 90.00°, β = 90.00°, γ = 90.00°
Space group Fm-3m (No. 225)
Asymmetric unit:
Ti (0.250, 0.250, 0.250)
Cr (0.000, 0.000, 0.000)
F (0.000, 0.000, 0.500)

=====

Record 2
The following is a GGA+U calculation of an optimized crystal structure of TiCr2F, from the Alexandria database.

Calculated values
**ρ**: 4.0 g cm⁻³
**Polymorph energy (0 for the lowest one)**: 0.421 eV/atom
**Crystal system**: cubic

a = 6.547 Å, b = 6.547 Å, c = 6.547 Å
α = 90.00°, β = 90.00°, γ = 90.00°
Space group Fm-3m (No. 225)
Asymmetric unit:
Ti (0.000, 0.000, 0.000)
Cr (0.250, 0.250, 0.250)
F (0.000, 0.000, 0.500)

=====

Record 3
The following is a GGA+U calculation of an optimized crystal structure of Ti2CrF, from the Alexandria database.

Calculated values
**ρ**: 4.4 g cm⁻³
**Polymorph energy (0 for the lowest one)**: 0.000 eV/atom
**Crystal system**: tetragonal

a = 6.748 Å, b = 6.748 Å, c = 5.557 Å
α = 90.00°, β = 90.00°, γ = 90.00°
Space group I-42d (No. 122)
Asymmetric unit:
Ti (0.155, 0.250, 0.125)
Cr (0.000, 0.000, 0.500)
F (0.000, 0.000, 0.000)

=====

Record 4
The following is a GGA+U calculation of an optimized crystal structure of TiCrF2, from the Alexandria database.

Calculated values
**ρ**: 3.7 g cm⁻³
**Polymorph energy (0 for the lowest one)**: 0.142 eV/atom
**Crystal system**: trigonal

a = 3.1282 Å, b = 3.1282 Å, c = 21.6961 Å
α = 90.00°, β = 90.00°, γ = 120.00°
Space group R-3m (No. 166, hexagonal axes)
Asymmetric unit:
Ti (0.0000, 0.0000, 0.0000)
Cr (0.0000, 0.0000, 0.5000)
F (0.0000, 0.0000, 0.0893)

=====

no.,V (Å³ per cell),Fermi-level density of states (states/eV per cell),M_tot (μB/cell)
1,259.9,20.851,12.46
2,280.6,18.034,30.24
3,253.0,26.389,12.28
4,183.9,11.126,17.54